[1]
# PBE-GGA LaCo2I, relaxed
data_LaCo2I
_chemical_formula_sum 'La2 Co4 I2'
_symmetry_space_group_name_H-M 'P 1'
_symmetry_Int_Tables_number 1
_cell_length_a 8.8090
_cell_length_b 8.8090
_cell_length_c 8.8090
_cell_angle_alpha 148.81
_cell_angle_beta 148.81
_cell_angle_gamma 44.70
loop_
_symmetry_equiv_pos_as_xyz
'x,y,z'
loop_
_atom_site_label
_atom_site_type_symbol
_atom_site_fract_x
_atom_site_fract_y
_atom_site_fract_z
La1 La 0.0000 0.0000 0.0000
La2 La 0.7500 0.2500 0.5000
Co1 Co 0.3127 0.6250 0.1877
Co2 Co 0.3750 0.5627 0.6877
Co3 Co 0.4373 0.1250 0.8123
Co4 Co 0.8750 0.6873 0.3123
I1 I 0.2500 0.7500 0.5000
I2 I 0.5000 0.5000 0.0000
# offset from the most stable computed form = 0 meV per atom
# VASP energy = -4.91 eV per atom
# N(E_F) = 0.703 states/eV per atom
# ΔE_f (raw) = 0.26 eV per atom

***

[2]
# PBE-GGA La2CoI, relaxed
data_La2CoI
_chemical_formula_sum 'La2 Co1 I1'
_symmetry_space_group_name_H-M 'P 1'
_symmetry_Int_Tables_number 1
_cell_length_a 5.3379
_cell_length_b 5.3379
_cell_length_c 5.3379
_cell_angle_alpha 60.00
_cell_angle_beta 60.00
_cell_angle_gamma 60.00
loop_
_symmetry_equiv_pos_as_xyz
'x,y,z'
loop_
_atom_site_label
_atom_site_type_symbol
_atom_site_fract_x
_atom_site_fract_y
_atom_site_fract_z
La1 La 0.2500 0.2500 0.2500
La2 La 0.7500 0.7500 0.7500
Co1 Co 0.0000 0.0000 0.0000
I1 I 0.5000 0.5000 0.5000
# offset from the most stable computed form = 546 meV per atom
# VASP energy = -4.77 eV per atom
# N(E_F) = 1.459 states/eV per atom
# ΔE_f (raw) = -0.14 eV per atom

***

[3]
# PBE-GGA La3Co3I, relaxed
data_La3Co3I
_chemical_formula_sum 'La6 Co6 I2'
_symmetry_space_group_name_H-M 'P 1'
_symmetry_Int_Tables_number 1
_cell_length_a 10.0321
_cell_length_b 10.0321
_cell_length_c 4.0725
_cell_angle_alpha 90.00
_cell_angle_beta 90.00
_cell_angle_gamma 120.00
loop_
_symmetry_equiv_pos_as_xyz
'x,y,z'
loop_
_atom_site_label
_atom_site_type_symbol
_atom_site_fract_x
_atom_site_fract_y
_atom_site_fract_z
La1 La 0.0565 0.3557 0.2500
La2 La 0.2992 0.9435 0.2500
La3 La 0.3557 0.2992 0.7500
La4 La 0.6443 0.7008 0.2500
La5 La 0.7008 0.0565 0.7500
La6 La 0.9435 0.6443 0.7500
Co1 Co 0.0084 0.1482 0.7500
Co2 Co 0.1397 0.9916 0.7500
Co3 Co 0.1482 0.1397 0.2500
Co4 Co 0.8518 0.8603 0.7500
Co5 Co 0.8603 0.0084 0.2500
Co6 Co 0.9916 0.8518 0.2500
I1 I 0.3333 0.6667 0.7500
I2 I 0.6667 0.3333 0.2500
# VASP energy = -5.74 eV per atom
# N(E_F) = 1.030 states/eV per atom
# ΔE_f (raw) = -0.36 eV per atom

***

[4]
# PBE-GGA La5CoI5, relaxed
data_La5CoI5
_chemical_formula_sum 'La5 Co1 I5'
_symmetry_space_group_name_H-M 'P 1'
_symmetry_Int_Tables_number 1
_cell_length_a 7.6700
_cell_length_b 7.6700
_cell_length_c 9.3303
_cell_angle_alpha 108.51
_cell_angle_beta 108.51
_cell_angle_gamma 49.06
loop_
_symmetry_equiv_pos_as_xyz
'x,y,z'
loop_
_atom_site_label
_atom_site_type_symbol
_atom_site_fract_x
_atom_site_fract_y
_atom_site_fract_z
La1 La 0.0000 0.0000 0.0000
La2 La 0.3304 0.3304 0.1315
La3 La 0.3720 0.3720 0.7464
La4 La 0.6280 0.6280 0.2536
La5 La 0.6696 0.6696 0.8685
Co1 Co 0.5000 0.5000 0.0000
I1 I 0.1464 0.1464 0.7889
I2 I 0.1785 0.1785 0.3550
I3 I 0.5000 0.5000 0.5000
I4 I 0.8215 0.8215 0.6450
I5 I 0.8536 0.8536 0.2111
# VASP energy = -4.61 eV per atom
# N(E_F) = 0.844 states/eV per atom
# ΔE_f (raw) = -1.02 eV per atom

***

[5]
# PBE-GGA La2Co2I, relaxed
data_La2Co2I
_chemical_formula_sum 'La4 Co4 I2'
_symmetry_space_group_name_H-M 'P 1'
_symmetry_Int_Tables_number 1
_cell_length_a 4.0544
_cell_length_b 4.0544
_cell_length_c 17.9636
_cell_angle_alpha 90.00
_cell_angle_beta 90.00
_cell_angle_gamma 120.00
loop_
_symmetry_equiv_pos_as_xyz
'x,y,z'
loop_
_atom_site_label
_atom_site_type_symbol
_atom_site_fract_x
_atom_site_fract_y
_atom_site_fract_z
La1 La 0.0000 0.0000 0.1043
La2 La 0.0000 0.0000 0.3957
La3 La 0.0000 0.0000 0.6043
La4 La 0.0000 0.0000 0.8957
Co1 Co 0.3333 0.6667 0.0002
Co2 Co 0.3333 0.6667 0.4998
Co3 Co 0.6667 0.3333 0.9998
Co4 Co 0.6667 0.3333 0.5002
I1 I 0.3333 0.6667 0.2500
I2 I 0.6667 0.3333 0.7500
# VASP energy = -5.74 eV per atom
# N(E_F) = 1.096 states/eV per atom
# ΔE_f (raw) = -0.61 eV per atom

***

[6]
# PBE-GGA La3CoI, relaxed
data_La3CoI
_chemical_formula_sum 'La3 Co1 I1'
_symmetry_space_group_name_H-M 'P 1'
_symmetry_Int_Tables_number 1
_cell_length_a 5.4607
_cell_length_b 5.4607
_cell_length_c 5.4607
_cell_angle_alpha 90.00
_cell_angle_beta 90.00
_cell_angle_gamma 90.00
loop_
_symmetry_equiv_pos_as_xyz
'x,y,z'
loop_
_atom_site_label
_atom_site_type_symbol
_atom_site_fract_x
_atom_site_fract_y
_atom_site_fract_z
La1 La 0.0000 0.0000 0.5000
La2 La 0.0000 0.5000 0.0000
La3 La 0.5000 0.0000 0.0000
Co1 Co 0.0000 0.0000 0.0000
I1 I 0.5000 0.5000 0.5000
# offset from the most stable computed form = 173 meV per atom
# VASP energy = -4.97 eV per atom
# N(E_F) = 1.387 states/eV per atom
# ΔE_f (raw) = -0.29 eV per atom

***

Q: Among the records above, which one has the highest ΔE_f (raw)?
A: LaCo2I